# MgAlIn | Alexandria | PBE | optimized geometry
# formation enthalpy at 0 K = 7 kJ per mole of atoms
data_MgAlIn
_symmetry_space_group_name_H-M 'P 1'
_symmetry_Int_Tables_number 1
_symmetry_space_group_name_Hall 'P 1'
_cell_length_a 5.4978
_cell_length_b 6.4255
_cell_length_c 5.3056
_cell_angle_alpha 53.37
_cell_angle_beta 82.55
_cell_angle_gamma 108.11
loop_
_atom_site_label
_atom_site_fract_x
_atom_site_fract_y
_atom_site_fract_z
_atom_site_occupancy
Al1 0.5340 0.8217 0.8336 1
Al2 0.8236 0.9641 0.1848 1
In1 0.4975 0.3046 0.8487 1
In2 0.8601 0.4813 0.1697 1
Mg1 0.1834 0.6447 0.5082 1
Mg2 0.1743 0.1412 0.5101 1